Pm2AlInAu6: optimized geometry, PBE.

abc: 5.5506 6.8502 6.8736
angles: 78.55 67.12 69.59
Closest atoms and distances in Å follow each position.
Space group P-1 (No. 2)
Symmetry-distinct sites (fractional):
Pm (0.0040, 0.2469, 0.2474) (multiplicity 2)  7 Au 3.08-3.35
Al (0.5000, 0.5000, 0.0000) (multiplicity 1)  6 Au 2.55-2.67
In (0.5000, 0.0000, 0.5000) (multiplicity 1)  6 Au 2.75-2.93
Au (0.9998, 0.2564, 0.7982) (multiplicity 2)  1 Al 2.67, 3 Au 2.83-2.93, 1 In 2.93
Au (0.3626, 0.4245, 0.4005) (multiplicity 2)  1 Al 2.55, 1 In 2.75
Au (0.4828, 0.8236, 0.1658) (multiplicity 2)  1 Al 2.64, 2 Au 2.83, 1 In 2.85

Pm3SmHg: optimized geometry, PBE.

abc: 11.5206 7.6079 8.0701
angles: 90.00 110.70 90.00
Closest atoms and distances in Å follow each position.
Space group C2/m (No. 12)
Symmetry-distinct sites (fractional):
Pm (0.0607, 0.0000, 0.2397) (multiplicity 4)  2 Hg 3.41-3.44, 7 Pm 3.56-3.62, 2 Sm 3.80
Pm (0.1610, 0.2501, 0.6458) (multiplicity 8)  2 Hg 3.28, 3 Sm 3.55-3.60, 5 Pm 3.56-3.63
Sm (0.0613, 0.5000, 0.2411) (multiplicity 4)  2 Hg 3.37-3.40, 6 Pm 3.55-3.60, 1 Sm 3.64
Hg (0.2477, 0.5000, 0.0001) (multiplicity 4)  6 Pm 3.28-3.44, 2 Sm 3.37-3.40

Mn2GaAu6: optimized geometry, PBE.

abc: 9.7972 7.7292 4.8000
angles: 90.00 118.54 90.00
Closest atoms and distances in Å follow each position.
Space group C2/m (No. 12)
Symmetry-distinct sites (fractional):
Mn (0.1731, 0.0000, 0.1732) (multiplicity 4)  8 Au 2.79-2.82, 1 Ga 2.81, 1 Mn 2.98
Ga (0.0000, 0.5000, 0.5000) (multiplicity 2)  8 Au 2.81-2.84, 2 Mn 2.81
Au (0.0000, 0.3103, 0.0000) (multiplicity 4)  2 Ga 2.81, 2 Mn 2.82, 7 Au 2.87-2.98
Au (0.1671, 0.1836, 0.6672) (multiplicity 8)  3 Mn 2.79-2.81, 1 Ga 2.84, 7 Au 2.84-2.99

Number 1: formation energy from the elements -0.494 eV/atom. Number 2: formation energy from the elements -0.091 eV/atom. Number 3: formation energy from the elements 0.000 eV/atom.